A plane-wave DFT calculation with PBE was carried out for a geometry-optimized SrSe2IN structure.

It has space group P4/mmm (No. 123), with a = 6.064 Å, b = 6.064 Å, c = 4.589 Å, α = 90.00°, β = 90.00° and γ = 90.00°. Symmetry generates all atoms from Sr at (0.000, 0.000, 0.000), Se at (0.000, 0.500, 0.000), I at (0.500, 0.500, 0.500) and N at (0.000, 0.000, 0.500).

As for the polymorph energy (0 for the lowest one): 768.6 meV per atom. The value obtained for the calculated total energy is -13.72 eV/cell. The formation energy (no corrections) comes out at 92.8 kJ/mol of atoms.

=====

A plane-wave DFT calculation with PBE was carried out for a geometry-optimized SrSeI2N structure.

It has space group P4/mmm (No. 123), with a = 6.380 Å, b = 6.380 Å, c = 4.439 Å, α = 90.00°, β = 90.00° and γ = 90.00°. Symmetry generates all atoms from Sr at (0.000, 0.000, 0.000), Se at (0.500, 0.500, 0.500), I at (0.000, 0.500, 0.000) and N at (0.000, 0.000, 0.500).

As for the polymorph energy (0 for the lowest one): 734.6 meV per atom. The value obtained for the calculated total energy is -12.75 eV/cell. The formation energy (no corrections) comes out at 74.1 kJ/mol of atoms.

=====

A plane-wave DFT calculation with PBE was carried out for a geometry-optimized SrSeI2N structure.

It has space group P4/mmm (No. 123), with a = 6.314 Å, b = 6.314 Å, c = 3.846 Å, α = 90.00°, β = 90.00° and γ = 90.00°. Symmetry generates all atoms from Sr at (0.000, 0.000, 0.000), Se at (0.500, 0.500, 0.500), I at (0.000, 0.500, 0.500) and N at (0.500, 0.500, 0.000).

As for the polymorph energy (0 for the lowest one): 0.0 meV per atom. The value obtained for the calculated total energy is -16.43 eV/cell. The formation energy (no corrections) comes out at 3.2 kJ/mol of atoms.

=====

A plane-wave DFT calculation with PBE was carried out for a geometry-optimized SrSe2IN structure.

It has space group P4/mmm (No. 123), with a = 5.581 Å, b = 5.581 Å, c = 4.073 Å, α = 90.00°, β = 90.00° and γ = 90.00°. Symmetry generates all atoms from Sr at (0.000, 0.000, 0.000), Se at (0.000, 0.500, 0.500), I at (0.500, 0.500, 0.500) and N at (0.500, 0.500, 0.000).

As for the polymorph energy (0 for the lowest one): 0.0 meV per atom. The value obtained for the calculated total energy is -17.56 eV/cell. The formation energy (no corrections) comes out at 18.7 kJ/mol of atoms.

=====

A plane-wave DFT calculation with PBE was carried out for a geometry-optimized Sr4SeI2N structure.

It has space group P2/m (No. 10), with a = 7.593 Å, b = 4.253 Å, c = 8.193 Å, α = 90.00°, β = 107.25° and γ = 90.00°. Symmetry generates all atoms from Sr at (0.197, 0.000, 0.179), Sr at (0.228, 0.500, 0.812), Se at (0.500, 0.000, 0.000), I at (0.000, 0.000, 0.500), I at (0.500, 0.500, 0.500) and N at (0.000, 0.500, 0.000).

The value obtained for the calculated total energy is -32.13 eV/cell. The formation energy (no corrections) comes out at -126.5 kJ/mol of atoms.

=====

A plane-wave DFT calculation with PBE was carried out for a geometry-optimized TaSeIN2 structure.

It has space group P4/mmm (No. 123), with a = 4.047 Å, b = 4.047 Å, c = 6.134 Å, α = 90.00°, β = 90.00° and γ = 90.00°. Symmetry generates all atoms from Ta at (0.000, 0.000, 0.000), Se at (0.500, 0.500, 0.500), I at (0.000, 0.000, 0.500) and N at (0.000, 0.500, 0.000).

As for the polymorph energy (0 for the lowest one): 160.1 meV per atom. The value obtained for the calculated total energy is -30.90 eV/cell. The formation energy (no corrections) comes out at 50.9 kJ/mol of atoms.

=====

A plane-wave DFT calculation with PBE was carried out for a geometry-optimized TaSe2IN structure.

It has space group P4/mmm (No. 123), with a = 5.271 Å, b = 5.271 Å, c = 3.946 Å, α = 90.00°, β = 90.00° and γ = 90.00°. Symmetry generates all atoms from Ta at (0.000, 0.000, 0.000), Se at (0.000, 0.500, 0.000), I at (0.500, 0.500, 0.500) and N at (0.000, 0.000, 0.500).

As for the polymorph energy (0 for the lowest one): 0.0 meV per atom. The value obtained for the calculated total energy is -28.07 eV/cell. The formation energy (no corrections) comes out at 12.1 kJ/mol of atoms.

=====

A plane-wave DFT calculation with PBE was carried out for a geometry-optimized TaSeIN2 structure.

It has space group P4/mmm (No. 123), with a = 4.071 Å, b = 4.071 Å, c = 5.736 Å, α = 90.00°, β = 90.00° and γ = 90.00°. Symmetry generates all atoms from Ta at (0.000, 0.000, 0.000), Se at (0.000, 0.000, 0.500), I at (0.500, 0.500, 0.500) and N at (0.000, 0.500, 0.000).

As for the polymorph energy (0 for the lowest one): 0.0 meV per atom. The value obtained for the calculated total energy is -31.70 eV/cell. The formation energy (no corrections) comes out at 35.4 kJ/mol of atoms.

=====

What did the seventh record say?
A plane-wave DFT calculation with PBE was carried out for a geometry-optimized TaSe2IN structure.

It has space group P4/mmm (No. 123), with a = 5.271 Å, b = 5.271 Å, c = 3.946 Å, α = 90.00°, β = 90.00° and γ = 90.00°. Symmetry generates all atoms from Ta at (0.000, 0.000, 0.000), Se at (0.000, 0.500, 0.000), I at (0.500, 0.500, 0.500) and N at (0.000, 0.000, 0.500).

As for the polymorph energy (0 for the lowest one): 0.0 meV per atom. The value obtained for the calculated total energy is -28.07 eV/cell. The formation energy (no corrections) comes out at 12.1 kJ/mol of atoms.

=====

Question: The lowest formation energy (no corrections) belongs to which entry?
Answer: Sr4SeI2N